[1]
Density functional theory data (PBE-GGA) for crystalline Tb2Ho12Tm5 at its relaxed geometry.

Summary:
Fermi-level density of states, states/eV/cell: 25.656
ΔE_f, eV per atom: 0.022
Energy above the most stable polymorph in this dataset, eV/f.u.: 0.00

Cell: 6.079 9.285 11.098 Å, 83.03 79.46 71.00°
Space group P-1 (No. 2)
Unique sites:
Tb 0.236 0.474 0.079
Ho 0.026 0.052 0.343
Ho 0.132 0.262 0.710
Ho 0.184 0.368 0.395
Ho 0.290 0.579 0.762
Ho 0.395 0.790 0.132
Ho 0.447 0.895 0.816
Tm 0.079 0.157 0.026
Tm 0.342 0.684 0.447
Tm 0.500 0.000 0.500

***

[2]
Density functional theory data (PBE-GGA) for crystalline Tb5HoTm2 at its relaxed geometry.

Summary:
Fermi-level density of states, states/eV/cell: 19.261
ΔE_f, eV per atom: 0.016
Energy above the most stable polymorph in this dataset, eV/f.u.: 0.00

Cell: 7.064 14.129 4.987 Å, 90.00 90.00 90.00°
Space group Pbam (No. 55)
Unique sites:
Tb 0.000 0.000 0.000
Tb 0.000 0.250 0.000
Tb 0.250 0.125 0.500
Ho 0.000 0.500 0.000
Tm 0.250 0.375 0.500